Record 1
Density functional theory data (SCAN) for a PBEsol-optimized structure of Y3Ga4Cu2.

Output
Fermi-level density of states, states/eV/cell: 6.3
M_tot, μB per cell: 0.00
E, eV for the cell shown: -370.6
ΔE_f, eV/atom: -0.665

```
data_Y3Ga4Cu2
_space_group_name_H-M_alt 'P 3 m 1'
_space_group_IT_number 156
_cell_length_a 4.2528
_cell_length_b 4.2528
_cell_length_c 21.9958
_cell_angle_alpha 90.00
_cell_angle_beta 90.00
_cell_angle_gamma 120.00
loop_
_space_group_symop_operation_xyz
'x,y,z'
'-y,x-y,z'
'-x+y,-x,z'
'-y,-x,z'
'-x+y,y,z'
'x,x-y,z'
loop_
_atom_site_label
_atom_site_type_symbol
_atom_site_fract_x
_atom_site_fract_y
_atom_site_fract_z
Y1 Y 0.0000 0.0000 0.0000
Y2 Y 0.0000 0.0000 0.1563
Y3 Y 0.0000 0.0000 0.3312
Y4 Y 0.0000 0.0000 0.4874
Y5 Y 0.0000 0.0000 0.6652
Y6 Y 0.0000 0.0000 0.8216
Ga1 Ga 0.3333 0.6667 0.0741
Ga2 Ga 0.3333 0.6667 0.2570
Ga3 Ga 0.3333 0.6667 0.4046
Ga4 Ga 0.3333 0.6667 0.5878
Ga5 Ga 0.3333 0.6667 0.9254
Ga6 Ga 0.6667 0.3333 0.2305
Ga7 Ga 0.6667 0.3333 0.5612
Ga8 Ga 0.6667 0.3333 0.9002
Cu1 Cu 0.3333 0.6667 0.7392
Cu2 Cu 0.6667 0.3333 0.0882
Cu3 Cu 0.6667 0.3333 0.4177
Cu4 Cu 0.6667 0.3333 0.7481
```

***

Record 2
Density functional theory data (SCAN) for a PBEsol-optimized structure of Rb3AlTe.

Output
Formation energy without anion corrections, kJ/mol of atoms: -14
Fermi-level density of states, states/eV/cell: 4.6
M_tot, μB per cell: 2.00
E, eV for the cell shown: -107.9

```
data_Rb3AlTe
_space_group_name_H-M_alt 'P m -3 m'
_space_group_IT_number 221
_space_group_name_Hall '-P 4 2 3'
_cell_length_a 6.855
_cell_length_b 6.855
_cell_length_c 6.855
_cell_angle_alpha 90.00
_cell_angle_beta 90.00
_cell_angle_gamma 90.00
loop_
_atom_site_label
_atom_site_type_symbol
_atom_site_fract_x
_atom_site_fract_y
_atom_site_fract_z
Rb1 Rb 0.000 0.000 0.500
Al1 Al 0.500 0.500 0.500
Te1 Te 0.000 0.000 0.000
```

***

Record 3
Density functional theory data (SCAN) for a PBEsol-optimized structure of Ba2TlCu.

Output
Fermi-level density of states, states/eV/cell: 3.2
M_tot, μB per cell: 0.00
E, eV for the cell shown: -167.5
ΔE_f, eV/atom: -0.209

```
data_Ba2TlCu
_space_group_name_H-M_alt 'P 4/m m m'
_space_group_IT_number 123
_space_group_name_Hall '-P 4 2'
_cell_length_a 3.941
_cell_length_b 3.941
_cell_length_c 8.418
_cell_angle_alpha 90.00
_cell_angle_beta 90.00
_cell_angle_gamma 90.00
loop_
_atom_site_label
_atom_site_type_symbol
_atom_site_fract_x
_atom_site_fract_y
_atom_site_fract_z
Ba1 Ba 0.000 0.000 0.227
Tl1 Tl 0.500 0.500 0.500
Cu1 Cu 0.500 0.500 0.000
```

***

Record 4
Density functional theory data (SCAN) for a PBEsol-optimized structure of ScAgSb2.

Output
Formation energy without anion corrections, kJ/mol of atoms: -30
Fermi-level density of states, states/eV/cell: 2.4
M_tot, μB per cell: 0.00
E, eV for the cell shown: -121.4

```
data_ScAgSb2
_space_group_name_H-M_alt 'P 4/m m m'
_space_group_IT_number 123
_space_group_name_Hall '-P 4 2'
_cell_length_a 3.773
_cell_length_b 3.773
_cell_length_c 6.172
_cell_angle_alpha 90.00
_cell_angle_beta 90.00
_cell_angle_gamma 90.00
loop_
_atom_site_label
_atom_site_type_symbol
_atom_site_fract_x
_atom_site_fract_y
_atom_site_fract_z
Sc1 Sc 0.000 0.000 0.000
Ag1 Ag 0.000 0.000 0.500
Sb1 Sb 0.500 0.500 0.249
```

***

Record 5
Density functional theory data (SCAN) for a PBEsol-optimized structure of Nb3PO.

Output
Formation energy without anion corrections, kJ/mol of atoms: 85
Fermi-level density of states, states/eV/cell: 7.2
M_tot, μB per cell: 0.01
E, eV for the cell shown: -111.6

```
data_Nb3PO
_space_group_name_H-M_alt 'P m -3 m'
_space_group_IT_number 221
_space_group_name_Hall '-P 4 2 3'
_cell_length_a 4.561
_cell_length_b 4.561
_cell_length_c 4.561
_cell_angle_alpha 90.00
_cell_angle_beta 90.00
_cell_angle_gamma 90.00
loop_
_atom_site_label
_atom_site_type_symbol
_atom_site_fract_x
_atom_site_fract_y
_atom_site_fract_z
Nb1 Nb 0.000 0.000 0.500
P1 P 0.000 0.000 0.000
O1 O 0.500 0.500 0.500
```

***

Record 6
Density functional theory data (SCAN) for a PBEsol-optimized structure of La3SiIr.

Output
Formation energy without anion corrections, kJ/mol of atoms: -41
Fermi-level density of states, states/eV/cell: 3.4
M_tot, μB per cell: 0.00
E, eV for the cell shown: -212.6

```
data_La3SiIr
_space_group_name_H-M_alt 'P m -3 m'
_space_group_IT_number 221
_space_group_name_Hall '-P 4 2 3'
_cell_length_a 5.445
_cell_length_b 5.445
_cell_length_c 5.445
_cell_angle_alpha 90.00
_cell_angle_beta 90.00
_cell_angle_gamma 90.00
loop_
_atom_site_label
_atom_site_type_symbol
_atom_site_fract_x
_atom_site_fract_y
_atom_site_fract_z
La1 La 0.000 0.000 0.500
Si1 Si 0.500 0.500 0.500
Ir1 Ir 0.000 0.000 0.000
```

***

Record 7
Density functional theory data (SCAN) for a PBEsol-optimized structure of KCr2Tc.

Output
Fermi-level density of states, states/eV/cell: 1.8
M_tot, μB per cell: 0.00
E, eV for the cell shown: -76.8
ΔE_f, eV/atom: 0.832
Excess energy over the best structure of this formula in the dataset, kJ per mole of atoms: 15.79

```
data_KCr2Tc
_space_group_name_H-M_alt 'P 4/m m m'
_space_group_IT_number 123
_space_group_name_Hall '-P 4 2'
_cell_length_a 3.255
_cell_length_b 3.255
_cell_length_c 7.590
_cell_angle_alpha 90.00
_cell_angle_beta 90.00
_cell_angle_gamma 90.00
loop_
_atom_site_label
_atom_site_type_symbol
_atom_site_fract_x
_atom_site_fract_y
_atom_site_fract_z
K1 K 0.000 0.000 0.000
Cr1 Cr 0.500 0.500 0.371
Tc1 Tc 0.000 0.000 0.500
```

***

Record 8
Density functional theory data (SCAN) for a PBEsol-optimized structure of CrInSe.

Output
Formation energy without anion corrections, kJ/mol of atoms: -2
Fermi-level density of states, states/eV/cell: 3.3
M_tot, μB per cell: 6.53
E, eV for the cell shown: -143.8

```
data_CrInSe
_space_group_name_H-M_alt 'I 4 m m'
_space_group_IT_number 107
_space_group_name_Hall 'I 4 -2'
_cell_length_a 3.055
_cell_length_b 3.055
_cell_length_c 11.271
_cell_angle_alpha 90.00
_cell_angle_beta 90.00
_cell_angle_gamma 90.00
loop_
_atom_site_label
_atom_site_type_symbol
_atom_site_fract_x
_atom_site_fract_y
_atom_site_fract_z
Cr1 Cr 0.000 0.000 0.000
In1 In 0.000 0.000 0.672
Se1 Se 0.000 0.000 0.397
```

***

Record 9
Density functional theory data (SCAN) for a PBEsol-optimized structure of Li3ScPt.

Output
Fermi-level density of states, states/eV/cell: 2.6
M_tot, μB per cell: 0.53
E, eV for the cell shown: -85.7
ΔE_f, eV/atom: 1.187

```
data_Li3ScPt
_space_group_name_H-M_alt 'P m -3 m'
_space_group_IT_number 221
_space_group_name_Hall '-P 4 2 3'
_cell_length_a 4.315
_cell_length_b 4.315
_cell_length_c 4.315
_cell_angle_alpha 90.00
_cell_angle_beta 90.00
_cell_angle_gamma 90.00
loop_
_atom_site_label
_atom_site_type_symbol
_atom_site_fract_x
_atom_site_fract_y
_atom_site_fract_z
Li1 Li 0.000 0.000 0.500
Sc1 Sc 0.000 0.000 0.000
Pt1 Pt 0.500 0.500 0.500
```

***

Record 10
Density functional theory data (SCAN) for a PBEsol-optimized structure of LiMgAu2.

Output
Fermi-level density of states, states/eV/cell: 1.0
M_tot, μB per cell: 0.00
E, eV for the cell shown: -148.4
ΔE_f, eV/atom: -0.693

```
data_LiMgAu2
_space_group_name_H-M_alt 'P 4/m m m'
_space_group_IT_number 123
_space_group_name_Hall '-P 4 2'
_cell_length_a 3.257
_cell_length_b 3.257
_cell_length_c 5.980
_cell_angle_alpha 90.00
_cell_angle_beta 90.00
_cell_angle_gamma 90.00
loop_
_atom_site_label
_atom_site_type_symbol
_atom_site_fract_x
_atom_site_fract_y
_atom_site_fract_z
Li1 Li 0.000 0.000 0.000
Mg1 Mg 0.000 0.000 0.500
Au1 Au 0.500 0.500 0.239
```

***

Record 11
Density functional theory data (SCAN) for a PBEsol-optimized structure of OsRuPb2.

Output
Fermi-level density of states, states/eV/cell: 8.6
M_tot, μB per cell: 0.00
E, eV for the cell shown: -763.4
ΔE_f, eV/atom: 0.952

```
data_OsRuPb2
_space_group_name_H-M_alt 'R -3 m'
_space_group_IT_number 166
_space_group_name_Hall '-R 3 2"'
_cell_length_a 3.1880
_cell_length_b 3.1880
_cell_length_c 25.2462
_cell_angle_alpha 90.00
_cell_angle_beta 90.00
_cell_angle_gamma 120.00
loop_
_atom_site_label
_atom_site_type_symbol
_atom_site_fract_x
_atom_site_fract_y
_atom_site_fract_z
Os1 Os 0.0000 0.0000 0.0000
Ru1 Ru 0.0000 0.0000 0.5000
Pb1 Pb 0.0000 0.0000 0.2489
```

***

Record 12
Density functional theory data (SCAN) for a PBEsol-optimized structure of In2FeMo.

Output
Fermi-level density of states, states/eV/cell: 4.1
M_tot, μB per cell: 4.17
E, eV for the cell shown: -236.7
ΔE_f, eV/atom: 0.356
Excess energy over the best structure of this formula in the dataset, kJ per mole of atoms: 0.00

```
data_In2FeMo
_space_group_name_H-M_alt 'C m m m'
_space_group_IT_number 65
_space_group_name_Hall '-C 2 2'
_cell_length_a 3.621
_cell_length_b 4.371
_cell_length_c 8.421
_cell_angle_alpha 90.00
_cell_angle_beta 90.00
_cell_angle_gamma 90.00
loop_
_atom_site_label
_atom_site_type_symbol
_atom_site_fract_x
_atom_site_fract_y
_atom_site_fract_z
In1 In 0.000 0.000 0.235
Fe1 Fe 0.000 0.500 0.000
Mo1 Mo 0.000 0.500 0.500
```

***

Record 13
Density functional theory data (SCAN) for a PBEsol-optimized structure of BaZnI2O.

Output
Formation energy without anion corrections, kJ/mol of atoms: -121
Fermi-level density of states, states/eV/cell: 1.1
M_tot, μB per cell: 0.05
E, eV for the cell shown: -139.1

```
data_BaZnI2O
_space_group_name_H-M_alt 'P 4/m m m'
_space_group_IT_number 123
_space_group_name_Hall '-P 4 2'
_cell_length_a 5.881
_cell_length_b 5.881
_cell_length_c 3.830
_cell_angle_alpha 90.00
_cell_angle_beta 90.00
_cell_angle_gamma 90.00
loop_
_atom_site_label
_atom_site_type_symbol
_atom_site_fract_x
_atom_site_fract_y
_atom_site_fract_z
Ba1 Ba 0.000 0.000 0.000
Zn1 Zn 0.500 0.500 0.500
I1 I 0.000 0.500 0.500
O1 O 0.500 0.500 0.000
```